Version one
First-principles (PBE-GGA) data for a relaxed structure of TlAg2Te, as listed in Alexandria via LeMat-Bulk.

M_tot = 0.000 μB per atom
Fermi-level density of states = 2.00 states/eV/cell

a = 3.1210 Å, b = 4.1639 Å, c = 7.6491 Å
α = 90.00°, β = 90.00°, γ = 90.00°
Sites, in units of the cell vectors:
Tl  0.5000  0.5000  0.7844
Te  0.0000  0.0000  0.4484
Ag  0.0000  0.0000  0.0427
Ag  0.5000  0.5000  0.2246

Version two
First-principles (PBE-GGA) data for a relaxed structure of TlAg2Te, as listed in Alexandria via LeMat-Bulk.

M_tot = 0.000 μB per atom
Fermi-level density of states = 1.21 states/eV/cell

a = 6.3961 Å, b = 6.0703 Å, c = 3.1806 Å
α = 74.02°, β = 91.45°, γ = 122.24°
Sites, in units of the cell vectors:
Tl  0.5000  0.5000  0.0000
Te  0.0000  0.5000  0.5000
Ag  0.0000  0.0000  0.0000
Ag  0.5000  0.0000  0.5000

Verdict on stability: version one comes out on top.

Version one
First-principles (PBE-GGA) data for a relaxed structure of TlAg2Te, as listed in Alexandria via LeMat-Bulk.

M_tot = 0.000 μB per atom
Fermi-level density of states = 2.14 states/eV/cell

a = 9.4622 Å, b = 9.4622 Å, c = 9.4622 Å
α = 21.49°, β = 21.49°, γ = 21.49°
Sites, in units of the cell vectors:
Tl  0.7421  0.7421  0.7421
Te  0.5106  0.5106  0.5106
Ag  0.9927  0.9927  0.9927
Ag  0.2545  0.2545  0.2545

Version two
First-principles (PBE-GGA) data for a relaxed structure of TlAg2Te, as listed in Alexandria via LeMat-Bulk.

M_tot = 0.000 μB per atom
Fermi-level density of states = 2.05 states/eV/cell

a = 4.4560 Å, b = 4.2249 Å, c = 5.6880 Å
α = 68.07°, β = 90.00°, γ = 90.00°
Sites, in units of the cell vectors:
Tl  0.5000  0.7485  0.8529
Te  0.0000  0.5046  0.3981
Ag  0.0000  0.1990  0.9539
Ag  0.5000  0.0479  0.2951

Verdict on stability: version two comes out on top.

Version one
First-principles (PBE-GGA) data for a relaxed structure of TlAg2Te, as listed in Alexandria via LeMat-Bulk.

M_tot = 0.000 μB per atom
Fermi-level density of states = 1.35 states/eV/cell

a = 3.1735 Å, b = 3.3659 Å, c = 9.2396 Å
α = 90.00°, β = 90.00°, γ = 90.01°
Sites, in units of the cell vectors:
Tl  0.5000  0.5000  0.7851
Te  0.0000  0.0000  0.4576
Ag  0.0000  0.0000  0.0342
Ag  0.5000  0.5000  0.2231

Version two
First-principles (PBE-GGA) data for a relaxed structure of TlAg2Te, as listed in Alexandria via LeMat-Bulk.

M_tot = 0.000 μB per atom
Fermi-level density of states = 1.02 states/eV/cell

a = 3.4011 Å, b = 3.4011 Å, c = 8.6835 Å
α = 90.00°, β = 90.00°, γ = 105.10°
Sites, in units of the cell vectors:
Tl  0.5000  0.5000  0.7500
Te  0.5000  0.5000  0.2500
Ag  0.0000  0.0000  0.0020
Ag  0.0000  0.0000  0.4980

Verdict on stability: version one comes out on top.

Version one
First-principles (PBE-GGA) data for a relaxed structure of Tl2AgTe, as listed in Alexandria via LeMat-Bulk.

M_tot = 0.000 μB per atom
Fermi-level density of states = 0.45 states/eV/cell

a = 6.0825 Å, b = 6.0825 Å, c = 3.2525 Å
α = 90.01°, β = 90.01°, γ = 107.80°
Sites, in units of the cell vectors:
Tl  0.0000  0.0000  0.0000
Tl  0.5000  0.5000  0.0000
Te  0.0000  0.5000  0.5000
Ag  0.5000  0.0000  0.5000

Version two
First-principles (PBE-GGA) data for a relaxed structure of Tl2AgTe, as listed in Alexandria via LeMat-Bulk.

M_tot = 0.000 μB per atom
Fermi-level density of states = 2.47 states/eV/cell

a = 6.8914 Å, b = 6.8914 Å, c = 8.2860 Å
α = 65.43°, β = 65.43°, γ = 90.00°
Sites, in units of the cell vectors:
Tl  0.5966  0.1250  0.2500
Tl  0.1534  0.6250  0.2500
Tl  0.3750  0.4034  0.7500
Tl  0.8750  0.8466  0.7500
Te  0.0000  0.0000  0.0000
Te  0.7500  0.2500  0.5000
Ag  0.5000  0.5000  0.0000
Ag  0.2500  0.7500  0.5000

Verdict on stability: version one comes out on top.

Version one
First-principles (PBE-GGA) data for a relaxed structure of Tl2AgTe, as listed in Alexandria via LeMat-Bulk.

M_tot = 0.000 μB per atom
Fermi-level density of states = 1.16 states/eV/cell

a = 3.2859 Å, b = 3.2859 Å, c = 10.4843 Å
α = 90.00°, β = 90.00°, γ = 94.57°
Sites, in units of the cell vectors:
Tl  0.0000  0.0000  0.0327
Tl  0.0000  0.0000  0.4673
Te  0.5000  0.5000  0.7500
Ag  0.5000  0.5000  0.2500

Version two
First-principles (PBE-GGA) data for a relaxed structure of Tl2AgTe, as listed in Alexandria via LeMat-Bulk.

M_tot = 0.000 μB per atom
Fermi-level density of states = 0.95 states/eV/cell

a = 4.2802 Å, b = 4.2802 Å, c = 6.3800 Å
α = 90.00°, β = 90.00°, γ = 90.00°
Sites, in units of the cell vectors:
Tl  0.0000  0.0000  0.0028
Tl  0.0000  0.0000  0.4972
Te  0.5000  0.5000  0.7500
Ag  0.5000  0.5000  0.2500

Verdict on stability: version two comes out on top.

Version one
First-principles (PBE-GGA) data for a relaxed structure of Tl2AgTe, as listed in Alexandria via LeMat-Bulk.

M_tot = 0.000 μB per atom
Fermi-level density of states = 1.50 states/eV/cell

a = 3.2892 Å, b = 4.3456 Å, c = 7.9191 Å
α = 90.00°, β = 90.00°, γ = 90.00°
Sites, in units of the cell vectors:
Tl  0.0000  0.0000  0.0252
Tl  0.0000  0.0000  0.4748
Te  0.5000  0.5000  0.7500
Ag  0.5000  0.5000  0.2500

Version two
First-principles (PBE-GGA) data for a relaxed structure of Tl2AgTe, as listed in Alexandria via LeMat-Bulk.

M_tot = 0.000 μB per atom
Fermi-level density of states = 1.96 states/eV/cell

a = 5.8634 Å, b = 5.8634 Å, c = 5.8634 Å
α = 130.54°, β = 130.54°, γ = 72.55°
Sites, in units of the cell vectors:
Tl  0.0000  0.0000  0.0000
Tl  0.2500  0.7500  0.5000
Te  0.7500  0.2500  0.5000
Ag  0.5000  0.5000  0.0000

Version three
First-principles (PBE-GGA) data for a relaxed structure of Tl2AgTe, as listed in Alexandria via LeMat-Bulk.

M_tot = 0.000 μB per atom
Fermi-level density of states = 1.53 states/eV/cell

a = 3.2845 Å, b = 3.2845 Å, c = 10.5979 Å
α = 90.00°, β = 90.00°, γ = 103.62°
Sites, in units of the cell vectors:
Tl  0.0000  0.0000  0.0080
Tl  0.5000  0.5000  0.2829
Te  0.5000  0.5000  0.7105
Ag  0.0000  0.0000  0.4986

Version four
First-principles (PBE-GGA) data for a relaxed structure of Tl2AgTe, as listed in Alexandria via LeMat-Bulk.

M_tot = 0.000 μB per atom
Fermi-level density of states = 2.23 states/eV/cell

a = 3.9408 Å, b = 3.9408 Å, c = 7.5067 Å
α = 90.00°, β = 90.00°, γ = 90.00°
Sites, in units of the cell vectors:
Tl  0.0000  0.0000  0.9736
Tl  0.5000  0.5000  0.2777
Te  0.5000  0.5000  0.7026
Ag  0.0000  0.0000  0.5461

Verdict on stability: version four comes out on top.

Version one
First-principles (PBE-GGA) data for a relaxed structure of Tl2AgTe, as listed in Alexandria via LeMat-Bulk.

M_tot = 0.000 μB per atom
Fermi-level density of states = 1.47 states/eV/cell

a = 4.4890 Å, b = 3.3196 Å, c = 7.8460 Å
α = 78.08°, β = 90.00°, γ = 90.00°
Sites, in units of the cell vectors:
Tl  0.0000  0.9380  0.0002
Tl  0.5000  0.2877  0.2954
Te  0.5000  0.5795  0.7229
Ag  0.0000  0.6949  0.4815

Version two
First-principles (PBE-GGA) data for a relaxed structure of Tl2AgTe, as listed in Alexandria via LeMat-Bulk.

M_tot = 0.000 μB per atom
Fermi-level density of states = 1.56 states/eV/cell

a = 7.0917 Å, b = 7.0917 Å, c = 7.0917 Å
α = 144.96°, β = 144.76°, γ = 50.54°
Sites, in units of the cell vectors:
Tl  0.9451  0.9451  0.0000
Tl  0.5549  0.5549  0.0000
Te  0.2500  0.7500  0.5000
Ag  0.7500  0.2500  0.5000

Verdict on stability: version two comes out on top.

Version one
First-principles (PBE-GGA) data for a relaxed structure of Tl2AgTe, as listed in Alexandria via LeMat-Bulk.

M_tot = 0.000 μB per atom
Fermi-level density of states = 2.24 states/eV/cell

a = 5.4499 Å, b = 5.4499 Å, c = 5.4499 Å
α = 60.00°, β = 60.00°, γ = 60.00°
Sites, in units of the cell vectors:
Tl  0.0000  0.0000  0.0000
Tl  0.2500  0.2500  0.2500
Te  0.7500  0.7500  0.7500
Ag  0.5000  0.5000  0.5000

Version two
First-principles (PBE-GGA) data for a relaxed structure of Tl2AgTe, as listed in Alexandria via LeMat-Bulk.

M_tot = 0.000 μB per atom
Fermi-level density of states = 4.56 states/eV/cell

a = 11.4656 Å, b = 11.4656 Å, c = 11.4656 Å
α = 16.96°, β = 16.96°, γ = 16.96°
Sites, in units of the cell vectors:
Tl  0.9907  0.9907  0.9907
Tl  0.5093  0.5093  0.5093
Te  0.7500  0.7500  0.7500
Ag  0.2500  0.2500  0.2500

Verdict on stability: version one comes out on top.